1.
Density functional theory data (GGA-PBE) for TmAl3ZnAg after structural relaxation.

* Fermi-level density of states: 6.1 states/eV/cell
* crystal system: orthorhombic
* formation energy from the elements: -0.0538 eV/atom
* SG: Cmcm

Unit cell a=6.213 b=5.888 c=7.059 alpha=114.65 beta=90.00 gamma=90.00
Fractional coordinates of all 12 atoms:
Al 0.750 0.871 0.743
Al 0.500 0.721 0.000
Al 0.000 0.721 0.000
Al 0.000 0.279 0.000
Al 0.250 0.129 0.257
Al 0.500 0.279 0.000
Zn 0.750 0.098 0.197
Zn 0.250 0.902 0.803
Tm 0.250 0.688 0.376
Tm 0.750 0.312 0.624
Ag 0.250 0.339 0.678
Ag 0.750 0.661 0.322

---

2.
Density functional theory data (GGA-PBE) for TmAl2Zn8Ag after structural relaxation.

* Fermi-level density of states: 3.7 states/eV/cell
* crystal system: monoclinic
* formation energy from the elements: -0.0427 eV/atom
* SG: C2/m

Unit cell a=4.785 b=4.785 c=10.154 alpha=95.95 beta=95.95 gamma=64.61
Fractional coordinates of all 12 atoms:
Zn 0.649 0.142 0.203
Zn 0.142 0.649 0.203
Zn 0.351 0.858 0.797
Zn 0.681 0.681 0.601
Zn 0.858 0.351 0.797
Zn 0.319 0.319 0.399
Zn 0.662 0.662 0.036
Zn 0.338 0.338 0.964
Al 0.656 0.656 0.333
Al 0.344 0.344 0.667
Tm 0.000 0.000 0.500
Ag 0.000 0.000 0.000

---

3.
Density functional theory data (GGA-PBE) for TmAlZnAg6 after structural relaxation.

* Fermi-level density of states: 7.4 states/eV/cell
* crystal system: orthorhombic
* formation energy from the elements: 0.0511 eV/atom
* SG: Imma

Unit cell a=7.359 b=9.027 c=8.003 alpha=124.33 beta=117.38 gamma=90.00
Fractional coordinates of all 18 atoms:
Al 0.500 0.500 0.000
Al 0.500 0.000 0.000
Zn 0.500 0.000 0.500
Zn 0.000 0.000 0.500
Ag 0.065 0.385 0.743
Ag 0.007 0.757 0.014
Ag 0.935 0.142 0.257
Ag 0.322 0.142 0.257
Ag 0.935 0.615 0.257
Ag 0.065 0.858 0.743
Ag 0.993 0.243 0.986
Ag 0.322 0.615 0.257
Ag 0.410 0.160 0.820
Ag 0.678 0.858 0.743
Ag 0.590 0.840 0.180
Ag 0.678 0.385 0.743
Tm 0.705 0.455 0.409
Tm 0.295 0.545 0.591

---

4.
Density functional theory data (GGA-PBE) for Tm2Al4Zn3Ag after structural relaxation.

* Fermi-level density of states: 3.8 states/eV/cell
* crystal system: tetragonal
* formation energy from the elements: -0.3173 eV/atom
* SG: P-4m2

Unit cell a=4.132 b=4.132 c=10.912 alpha=90.00 beta=90.00 gamma=90.00
Fractional coordinates of all 10 atoms:
Zn 0.000 0.000 0.500
Zn 0.500 0.000 0.861
Zn 0.000 0.500 0.139
Al 0.000 0.000 0.000
Al 0.500 0.500 0.000
Al 0.000 0.500 0.360
Al 0.500 0.000 0.640
Tm 0.000 0.500 0.756
Tm 0.500 0.000 0.244
Ag 0.500 0.500 0.500

---

5.
Density functional theory data (GGA-PBE) for Tm4AlZn2Ag after structural relaxation.

* Fermi-level density of states: 4.5 states/eV/cell
* crystal system: trigonal
* formation energy from the elements: -0.3578 eV/atom
* SG: R-3m

Unit cell a=5.018 b=5.018 c=8.695 alpha=73.23 beta=73.23 gamma=60.00
Fractional coordinates of all 8 atoms:
Tm 0.375 0.375 0.876
Tm 0.625 0.625 0.124
Tm 0.125 0.125 0.626
Tm 0.875 0.875 0.374
Ag 0.500 0.500 0.500
Zn 0.748 0.748 0.755
Zn 0.252 0.252 0.245
Al 0.000 0.000 0.000

---

6.
Density functional theory data (GGA-PBE) for Tm2Al3Zn4Ag after structural relaxation.

* Fermi-level density of states: 7.1 states/eV/cell
* crystal system: tetragonal
* formation energy from the elements: -0.2737 eV/atom
* SG: P-4m2

Unit cell a=4.136 b=4.136 c=10.884 alpha=90.00 beta=90.00 gamma=90.00
Fractional coordinates of all 10 atoms:
Al 0.500 0.000 0.865
Al 0.000 0.000 0.500
Al 0.000 0.500 0.135
Zn 0.500 0.500 0.000
Zn 0.000 0.000 0.000
Zn 0.000 0.500 0.356
Zn 0.500 0.000 0.644
Tm 0.500 0.000 0.244
Tm 0.000 0.500 0.756
Ag 0.500 0.500 0.500

---

7.
Density functional theory data (GGA-PBE) for TmZrAlAg after structural relaxation.

* Fermi-level density of states: 3.1 states/eV/cell
* crystal system: cubic
* formation energy from the elements: -0.2194 eV/atom
* SG: F-43m

Unit cell a=4.960 b=4.960 c=4.960 alpha=60.00 beta=60.00 gamma=60.00
Fractional coordinates of all 4 atoms:
Tm 0.750 0.750 0.750
Zr 0.250 0.250 0.250
Al 0.000 0.000 0.000
Ag 0.500 0.500 0.500

---

8.
Density functional theory data (GGA-PBE) for U2Al9Ag after structural relaxation.

* Fermi-level density of states: 13.3 states/eV/cell
* crystal system: tetragonal
* formation energy from the elements: -0.0459 eV/atom
* SG: P4/mmm

Unit cell a=4.227 b=4.227 c=12.441 alpha=90.00 beta=90.00 gamma=90.00
Fractional coordinates of all 12 atoms:
Al 0.500 0.000 0.845
Al 0.000 0.500 0.845
Al 0.500 0.000 0.500
Al 0.500 0.500 0.669
Al 0.000 0.500 0.155
Al 0.500 0.000 0.155
Al 0.500 0.500 0.000
Al 0.500 0.500 0.331
Al 0.000 0.500 0.500
Ag 0.000 0.000 0.000
U 0.000 0.000 0.672
U 0.000 0.000 0.328